# 1
Compound: Er6HgGe2Se3
Source: Alexandria via LeMat-Bulk
Functional: GGA-PBE
Structure: optimized geometry Values from VASP.

- DOS(E_F) (states/eV per cell) = 4.6
- space group = C2/m, No. 12
- energy relative to the elements, uncorrected (eV per atom) = -1.243
- theoretical density (g cm⁻³) = 8.90

The structure in Quantum ESPRESSO input format:
```
&SYSTEM
  ibrav = 0, nat = 12, ntyp = 4
/
ATOMIC_SPECIES
Se 78.96 Se.upf
Er 167.26 Er.upf
Hg 200.59 Hg.upf
Ge 72.64 Ge.upf
ATOMIC_POSITIONS angstrom
Se -6.1063 -2.5326 -0.6327
Se -3.6390 1.9040 4.5569
Se -3.8638 0.1299 -2.5732
Er -7.5352 -2.5166 1.7928
Er -4.6463 -2.5510 -3.1195
Er -5.0989 1.9224 7.0437
Er -5.2329 0.2279 0.1004
Hg -0.7256 1.8592 -0.4397
Ge -6.8417 0.1680 2.5015
Er -4.5123 -0.8566 3.8238
Ge -2.9036 -0.7967 1.4227
Er -2.2101 1.8880 2.1314
CELL_PARAMETERS angstrom
-1.4512 3.7185 -0.8794
-6.2765 -3.4586 -4.2670
-2.0176 -0.8885 9.0706
```

---

# 2
Compound: AgPtS2N
Source: Alexandria via LeMat-Bulk
Functional: GGA-PBE
Structure: optimized geometry Values from VASP.

- polymorph energy (0 for the lowest one) (kcal/mol of atoms) = 20.634
- DOS(E_F) (states/eV per cell) = 4.1
- space group = P4/mmm, No. 123
- energy relative to the elements, uncorrected (eV per atom) = 1.644
- theoretical density (g cm⁻³) = 6.84

The structure in Quantum ESPRESSO input format:
```
&SYSTEM
  ibrav = 0, nat = 5, ntyp = 4
/
ATOMIC_SPECIES
S 32.06 S.upf
N 14.01 N.upf
Pt 195.08 Pt.upf
Ag 107.87 Ag.upf
ATOMIC_POSITIONS angstrom
S 1.1904 -0.0645 2.1294
N -0.5178 1.8391 0.3452
S -2.0285 -0.7795 1.1104
Pt -1.3558 0.9951 3.5850
Ag 0.0000 0.0000 0.0000
CELL_PARAMETERS angstrom
-4.0570 -1.5590 2.2209
2.3809 -0.1290 4.2588
-1.0355 3.6782 0.6904
```

---

# 3
Compound: ZrFe3S
Source: Alexandria via LeMat-Bulk
Functional: GGA-PBE
Structure: optimized geometry Values from VASP.

- polymorph energy (0 for the lowest one) (kcal/mol of atoms) = 0.000
- DOS(E_F) (states/eV per cell) = 3.5
- space group = Pm-3m, No. 221
- energy relative to the elements, uncorrected (eV per atom) = -0.035
- theoretical density (g cm⁻³) = 6.68

The structure in Quantum ESPRESSO input format:
```
&SYSTEM
  ibrav = 0, nat = 5, ntyp = 3
/
ATOMIC_SPECIES
Fe 55.84 Fe.upf
S 32.06 S.upf
Zr 91.22 Zr.upf
ATOMIC_POSITIONS angstrom
Fe 2.0830 0.0000 0.0000
Fe 0.0000 0.0000 2.0830
S 0.0000 0.0000 0.0000
Fe 0.0000 2.0830 0.0000
Zr 2.0830 2.0830 2.0830
CELL_PARAMETERS angstrom
4.1660 0.0000 0.0000
0.0000 4.1660 0.0000
0.0000 0.0000 4.1660
```

---

# 4
Compound: ZrAl2CoN
Source: Alexandria via LeMat-Bulk
Functional: GGA-PBE
Structure: optimized geometry Values from VASP.

- DOS(E_F) (states/eV per cell) = 8.0
- space group = P4/mmm, No. 123
- energy relative to the elements, uncorrected (eV per atom) = 2.247
- theoretical density (g cm⁻³) = 2.86

The structure in Quantum ESPRESSO input format:
```
&SYSTEM
  ibrav = 0, nat = 5, ntyp = 4
/
ATOMIC_SPECIES
Co 58.93 Co.upf
Al 26.98 Al.upf
N 14.01 N.upf
Zr 91.22 Zr.upf
ATOMIC_POSITIONS angstrom
Co 1.1333 -1.6572 0.9173
Al -0.8501 -1.6506 -1.9319
N -1.8532 -3.9464 0.4711
Zr 0.0000 0.0000 0.0000
Al -2.1364 -0.6386 1.4857
CELL_PARAMETERS angstrom
-1.7002 -3.3013 -3.8637
2.2665 -3.3144 1.8346
-4.2728 -1.2772 2.9714
```

---

# 5
Compound: Rb2MgBr6N
Source: Alexandria via LeMat-Bulk
Functional: GGA-PBE
Structure: optimized geometry Values from VASP.

- DOS(E_F) (states/eV per cell) = 0.0
- space group = I4/mmm, No. 139
- energy relative to the elements, uncorrected (eV per atom) = -0.652
- theoretical density (g cm⁻³) = 3.62

The structure in Quantum ESPRESSO input format:
```
&SYSTEM
  ibrav = 0, nat = 10, ntyp = 4
/
ATOMIC_SPECIES
Br 79.90 Br.upf
N 14.01 N.upf
Rb 85.47 Rb.upf
Mg 24.30 Mg.upf
ATOMIC_POSITIONS angstrom
Br -1.2504 -6.7969 2.8537
Br -3.0980 -8.3439 5.7741
Br 1.0451 -4.4845 3.2793
N -0.8618 -4.6847 1.9669
Br -2.7687 -4.8849 0.6544
Rb -0.8015 -5.5937 6.5796
Mg 0.0000 0.0000 0.0000
Br -0.4732 -2.5725 1.0801
Br -2.7342 -3.2876 4.4741
Rb -5.0308 -6.0378 3.6687
CELL_PARAMETERS angstrom
-5.0911 -5.1288 -0.9441
3.3675 -4.2406 4.8778
-4.1086 -2.2621 6.3145
```

---

# 6
Compound: HoNbRuRh
Source: Alexandria via LeMat-Bulk
Functional: GGA-PBE
Structure: optimized geometry Values from VASP.

- DOS(E_F) (states/eV per cell) = 3.0
- space group = F-43m, No. 216
- theoretical density (g cm⁻³) = 10.83
- energy of formation from the pure elements (eV per atom) = -0.40

The structure in Quantum ESPRESSO input format:
```
&SYSTEM
  ibrav = 0, nat = 4, ntyp = 4
/
ATOMIC_SPECIES
Ru 101.07 Ru.upf
Nb 92.91 Nb.upf
Ho 164.93 Ho.upf
Rh 102.91 Rh.upf
ATOMIC_POSITIONS angstrom
Ru 4.6432 2.6807 1.8956
Nb 6.9648 4.0211 2.8434
Ho 2.3216 1.3404 0.9478
Rh 0.0000 0.0000 0.0000
CELL_PARAMETERS angstrom
4.6432 0.0000 0.0000
2.3216 4.0211 0.0000
2.3216 1.3404 3.7911
```

---

# 7
Compound: NdOsN
Source: Alexandria via LeMat-Bulk
Functional: GGA-PBE
Structure: optimized geometry Values from VASP.

- DOS(E_F) (states/eV per cell) = 10.6
- space group = Pnma, No. 62
- energy relative to the elements, uncorrected (eV per atom) = -0.204
- theoretical density (g cm⁻³) = 11.72

The structure in Quantum ESPRESSO input format:
```
&SYSTEM
  ibrav = 0, nat = 12, ntyp = 3
/
ATOMIC_SPECIES
Nd 144.24 Nd.upf
Os 190.23 Os.upf
N 14.01 N.upf
ATOMIC_POSITIONS angstrom
Nd 0.7428 3.8027 1.7355
Nd 2.2283 5.0816 7.3484
Os 2.2283 5.0681 10.4204
N 0.7428 1.2238 7.5367
Os 0.7428 0.8547 0.8053
N 0.7428 4.1852 9.3019
Nd 0.7428 0.8413 3.8774
N 2.2283 1.7377 1.9238
Os 0.7428 3.8162 4.8075
Nd 2.2283 2.1201 9.4902
Os 2.2283 2.1067 6.4182
N 2.2283 4.6991 3.6890
CELL_PARAMETERS angstrom
2.9711 0.0000 0.0000
0.0000 5.9229 0.0000
0.0000 0.0000 11.2257
```

---

# 8
Compound: Ta2Nb5Sn
Source: Alexandria via LeMat-Bulk
Functional: GGA-PBE
Structure: optimized geometry Values from VASP.

- polymorph energy (0 for the lowest one) (kcal/mol of atoms) = 7.898
- DOS(E_F) (states/eV per cell) = 18.8
- space group = I4/mcm, No. 140
- theoretical density (g cm⁻³) = 10.10
- energy of formation from the pure elements (eV per atom) = 0.29

The structure in Quantum ESPRESSO input format:
```
&SYSTEM
  ibrav = 0, nat = 16, ntyp = 3
/
ATOMIC_SPECIES
Nb 92.91 Nb.upf
Ta 180.95 Ta.upf
Sn 118.71 Sn.upf
ATOMIC_POSITIONS angstrom
Nb -2.8736 -0.9269 1.3949
Nb -0.7162 1.9329 2.6103
Nb -1.6426 -3.0845 3.6067
Nb -5.9502 -1.5245 1.6955
Nb 0.0000 0.0000 0.0000
Ta -2.9415 -5.1761 4.7227
Nb -3.7928 1.3353 2.9108
Ta -0.7723 -2.3215 6.0496
Nb -1.7558 -0.0193 4.8930
Ta -2.5130 -3.8474 1.1638
Ta -0.3437 -0.9929 2.4907
Sn -4.1545 -1.3380 3.9562
Nb -2.2766 3.0794 5.0930
Nb -4.3898 -2.6710 -0.7872
Nb -4.9106 0.4277 -0.5872
Sn -2.5119 1.7464 0.3495
CELL_PARAMETERS angstrom
-4.0383 -5.8402 0.1589
0.7531 -0.3287 7.0545
-3.3811 6.5773 -2.9077
```